## CaPr3Y2Se6 (GGA-PBE)

Data for CaPr3Y2Se6 after structural relaxation.

Structure (POSCAR):
```
CaPr3Y2Se6
1.0
-1.5156 6.5515 -2.5540
-4.5359 -5.4580 -1.1737
-1.3607 1.1645 7.1540
Ca Pr Y Se
1 3 2 6
Direct
0.0000 0.0000 0.0000
0.1647 0.8353 0.5000
0.8353 0.1647 0.5000
0.5000 0.5000 0.5000
0.3329 0.6671 0.0000
0.6671 0.3329 0.0000
0.9215 0.5869 0.7643
0.7430 0.7430 0.2319
0.0785 0.4131 0.2357
0.5869 0.9215 0.7643
0.2570 0.2570 0.7681
0.4131 0.0785 0.2357
```

**ΔE_f (raw)**: -1843 meV per atom
**Total magnetic moment**: 0.00 μB per formula unit
**Calculated total energy**: -72.29 eV/cell